## i
Computed, not measured: a relaxed Ac4MgAg3 crystal at the PBE level of DFT.

Properties
As for the volume: 31.97 Å³/atom. Its density of states at the Fermi level is 6.2 states/eV per cell. The space group is Pmmm, No. 47.

a b c (Å): 3.9947 5.6651 11.3021
angles (deg): 90.00 90.00 90.00
Atoms (fractional coordinates):
Ac 0.0000 0.0000 0.0000
Ac 0.0000 0.5000 0.2594
Ac 0.0000 0.0000 0.5000
Ac 0.0000 0.5000 0.7406
Ag 0.5000 0.0000 0.7578
Ag 0.5000 0.5000 0.5000
Ag 0.5000 0.0000 0.2422
Mg 0.5000 0.5000 0.0000

***

## ii
Computed, not measured: a relaxed Ac4MgAg3 crystal at the PBE level of DFT.

Properties
As for the volume: 32.79 Å³/atom. Its density of states at the Fermi level is 7.1 states/eV per cell. The space group is Pmm2, No. 25.

a b c (Å): 4.2617 4.9845 12.3483
angles (deg): 90.00 90.00 90.00
Atoms (fractional coordinates):
Ac 0.0000 0.0000 0.1575
Ac 0.0000 0.5000 0.8412
Ac 0.5000 0.0000 0.6430
Ac 0.5000 0.5000 0.3614
Ag 0.5000 0.0000 0.9289
Ag 0.0000 0.5000 0.5714
Ag 0.0000 0.0000 0.4316
Mg 0.5000 0.5000 0.0651

***

Most stable one: i, least stable one: ii.

***

## i
Computed, not measured: a relaxed AcMgAg3 crystal at the PBE level of DFT.

Properties
As for the volume: 24.52 Å³/atom. Its density of states at the Fermi level is 6.9 states/eV per cell. The space group is Pnna, No. 52.

a b c (Å): 6.1479 6.1469 12.9789
angles (deg): 90.00 90.00 90.00
Atoms (fractional coordinates):
Ag 0.2500 0.2500 0.5006
Ag 0.5009 0.9995 0.6413
Ag 0.2500 0.7500 0.9994
Ag 0.9991 0.4995 0.8587
Ag 0.9991 0.5005 0.6413
Ag 0.0009 0.4995 0.3587
Ag 0.0009 0.5005 0.1413
Ag 0.7500 0.7500 0.4994
Ag 0.5009 0.0005 0.8587
Ag 0.4991 0.9995 0.1413
Ag 0.7500 0.2500 0.0006
Ag 0.4991 0.0005 0.3587
Mg 0.7500 0.7500 0.0001
Mg 0.2500 0.2500 0.9999
Mg 0.2500 0.7500 0.5001
Mg 0.7500 0.2500 0.4999
Ac 0.9996 0.0000 0.2500
Ac 0.0004 0.0000 0.7500
Ac 0.5004 0.5000 0.2500
Ac 0.4996 0.5000 0.7500

***

## ii
Computed, not measured: a relaxed AcMgAg3 crystal at the PBE level of DFT.

Properties
As for the volume: 24.71 Å³/atom. Its density of states at the Fermi level is 1.6 states/eV per cell. The space group is I4mm, No. 107.

a b c (Å): 4.7825 4.7825 6.3721
angles (deg): 112.04 112.04 90.00
Atoms (fractional coordinates):
Mg 0.6454 0.6454 0.2908
Ag 0.2653 0.7652 0.5305
Ag 0.4021 0.4021 0.8042
Ag 0.7653 0.2652 0.5305
Ac 0.0122 0.0122 0.0244

***

Most stable one: i, least stable one: ii.

***

## i
Computed, not measured: a relaxed AcMgAgPt crystal at the PBE level of DFT.

Properties
As for the volume: 24.13 Å³/atom. Its density of states at the Fermi level is 2.7 states/eV per cell. The space group is F-43m, No. 216.

a b c (Å): 5.1489 5.1489 5.1489
angles (deg): 60.00 60.00 60.00
Atoms (fractional coordinates):
Pt 0.5000 0.5000 0.5000
Mg 0.7500 0.7500 0.7500
Ag 0.0000 0.0000 0.0000
Ac 0.2500 0.2500 0.2500

***

## ii
Computed, not measured: a relaxed AcMgAgPt crystal at the PBE level of DFT.

Properties
As for the volume: 24.48 Å³/atom. Its density of states at the Fermi level is 2.0 states/eV per cell. The space group is R3m, No. 160.

a b c (Å): 4.6724 4.6765 5.8337
angles (deg): 113.59 90.00 119.97
Atoms (fractional coordinates):
Ac 0.6209 0.2418 0.5045
Pt 0.4090 0.8179 0.8687
Ag 0.8291 0.6582 0.1298
Mg 0.1073 0.2147 0.9644

***

Most stable one: ii, least stable one: i.

***

## i
Computed, not measured: a relaxed AcMgAgRh crystal at the PBE level of DFT.

Properties
As for the volume: 23.43 Å³/atom. Its density of states at the Fermi level is 3.5 states/eV per cell. The space group is F-43m, No. 216.

a b c (Å): 5.0988 5.0988 5.0988
angles (deg): 60.00 60.00 60.00
Atoms (fractional coordinates):
Ag 0.2500 0.2500 0.2500
Mg 0.5000 0.5000 0.5000
Ac 0.0000 0.0000 0.0000
Rh 0.7500 0.7500 0.7500

***

## ii
Computed, not measured: a relaxed AcMgAgRh crystal at the PBE level of DFT.

Properties
As for the volume: 23.98 Å³/atom. Its density of states at the Fermi level is 1.5 states/eV per cell. The space group is R3m, No. 160.

a b c (Å): 4.5845 4.5854 5.8964
angles (deg): 112.88 90.00 120.00
Atoms (fractional coordinates):
Ac 0.6229 0.2458 0.5106
Rh 0.4075 0.8151 0.8648
Mg 0.1088 0.2177 0.9688
Ag 0.8270 0.6541 0.1231

***

Most stable one: ii, least stable one: i.

***

## i
Computed, not measured: a relaxed AcSmMgAg crystal at the PBE level of DFT.

Properties
As for the volume: 29.70 Å³/atom. Its density of states at the Fermi level is 3.0 states/eV per cell. The space group is P4mm, No. 99.

a b c (Å): 3.9308 3.9308 7.6898
angles (deg): 90.00 90.00 90.00
Atoms (fractional coordinates):
Ac 0.0000 0.0000 0.8636
Ag 0.5000 0.5000 0.1367
Mg 0.5000 0.5000 0.5813
Sm 0.0000 0.0000 0.3464

***

## ii
Computed, not measured: a relaxed AcSmMgAg crystal at the PBE level of DFT.

Properties
As for the volume: 30.12 Å³/atom. Its density of states at the Fermi level is 4.3 states/eV per cell. The space group is F-43m, No. 216.

a b c (Å): 5.5435 5.5435 5.5435
angles (deg): 60.00 60.00 60.00
Atoms (fractional coordinates):
Mg 0.7500 0.7500 0.7500
Ag 0.2500 0.2500 0.2500
Sm 0.0000 0.0000 0.0000
Ac 0.5000 0.5000 0.5000

***

Most stable one: i, least stable one: ii.

***

## i
Computed, not measured: a relaxed AcTbMgAg crystal at the PBE level of DFT.

Properties
As for the volume: 29.52 Å³/atom. Its density of states at the Fermi level is 4.1 states/eV per cell. The space group is F-43m, No. 216.

a b c (Å): 5.5069 5.5069 5.5069
angles (deg): 60.00 60.00 60.00
Atoms (fractional coordinates):
Ac 0.7500 0.7500 0.7500
Tb 0.2500 0.2500 0.2500
Ag 0.0000 0.0000 0.0000
Mg 0.5000 0.5000 0.5000

***

## ii
Computed, not measured: a relaxed AcTbMgAg crystal at the PBE level of DFT.

Properties
As for the volume: 29.10 Å³/atom. Its density of states at the Fermi level is 3.4 states/eV per cell. The space group is P4mm, No. 99.

a b c (Å): 3.8904 3.8904 7.6893
angles (deg): 90.00 90.00 90.00
Atoms (fractional coordinates):
Tb 0.0000 0.0000 0.3441
Ac 0.0000 0.0000 0.8627
Mg 0.5000 0.5000 0.5763
Ag 0.5000 0.5000 0.1449

***

Most stable one: ii, least stable one: i.

***

## i
Computed, not measured: a relaxed NaAcAg crystal at the PBE level of DFT.

Properties
As for the volume: 35.09 Å³/atom. Its density of states at the Fermi level is 2.0 states/eV per cell. The space group is P3m1, No. 156.

a b c (Å): 3.9124 3.9124 7.9403
angles (deg): 90.00 90.00 120.00
Atoms (fractional coordinates):
Na 0.3333 0.6667 0.6143
Ac 0.0000 0.0000 0.0465
Ag 0.6667 0.3333 0.3391

***

## ii
Computed, not measured: a relaxed NaAcAg crystal at the PBE level of DFT.

Properties
As for the volume: 36.65 Å³/atom. Its density of states at the Fermi level is 5.7 states/eV per cell. The space group is P4/nmm, No. 129.

a b c (Å): 5.3208 5.3208 7.7669
angles (deg): 90.00 90.00 90.00
Atoms (fractional coordinates):
Ac 0.0000 0.0000 0.5000
Ac 0.5000 0.5000 0.5000
Na 0.5000 0.5000 0.0000
Na 0.0000 0.0000 0.0000
Ag 0.0000 0.5000 0.2530
Ag 0.5000 0.0000 0.7470

***

Most stable one: ii, least stable one: i.

***

## i
Computed, not measured: a relaxed Na3AcAg8 crystal at the PBE level of DFT.

Properties
As for the volume: 22.49 Å³/atom. Its density of states at the Fermi level is 6.5 states/eV per cell. The space group is R3m, No. 160.

a b c (Å): 5.7712 5.7712 9.9315
angles (deg): 73.11 73.11 60.00
Atoms (fractional coordinates):
Na 0.0064 0.0064 0.9808
Na 0.4906 0.4906 0.5283
Na 0.3732 0.3732 0.8804
Ag 0.6882 0.6882 0.9354
Ag 0.1872 0.1872 0.4385
Ag 0.4366 0.9376 0.6883
Ag 0.9378 0.4396 0.1829
Ag 0.4396 0.9378 0.1829
Ag 0.9376 0.9376 0.6883
Ag 0.4396 0.4396 0.1829
Ag 0.9376 0.4366 0.6883
Ac 0.8757 0.8757 0.3730

***

## ii
Computed, not measured: a relaxed Na3AcAg8 crystal at the PBE level of DFT.

Properties
As for the volume: 22.55 Å³/atom. Its density of states at the Fermi level is 6.2 states/eV per cell. The space group is P3m1, No. 156.

a b c (Å): 5.7304 5.7304 9.5144
angles (deg): 90.00 90.00 120.00
Atoms (fractional coordinates):
Ag 0.6684 0.8342 0.2491
Ag 0.9957 0.4979 0.7549
Ag 0.3333 0.6667 0.0014
Ag 0.3333 0.6667 0.4993
Ag 0.5021 0.0043 0.7549
Ag 0.5021 0.4979 0.7549
Ag 0.1658 0.8342 0.2491
Ag 0.1658 0.3316 0.2491
Na 0.6667 0.3333 0.0565
Na 0.6667 0.3333 0.4063
Na 0.0000 0.0000 0.9592
Ac 0.0000 0.0000 0.5652

***

Most stable one: ii, least stable one: i.